Record 1
# TbZrMo2C3 (GGA-PBE, relaxed)
data_TbZrMo2C3
_chemical_formula_sum 'Tb2 Zr2 Mo4 C6'
_symmetry_space_group_name_H-M 'C 1 m 1'
_symmetry_Int_Tables_number 8
_cell_length_a 11.317
_cell_length_b 3.312
_cell_length_c 5.587
_cell_angle_alpha 90.00
_cell_angle_beta 109.06
_cell_angle_gamma 90.00
loop_
_symmetry_equiv_pos_as_xyz
'x,y,z'
'x,-y,z'
'x+1/2,y+1/2,z'
'x+1/2,-y+1/2,z'
loop_
_atom_site_label
_atom_site_type_symbol
_atom_site_fract_x
_atom_site_fract_y
_atom_site_fract_z
Tb1 Tb 0.000 0.000 0.000
Zr1 Zr 0.233 0.000 0.637
Mo1 Mo 0.260 0.500 0.182
Mo2 Mo 0.463 0.000 0.450
C1 C 0.116 0.500 0.335
C2 C 0.341 0.000 0.063
C3 C 0.374 0.500 0.563
# Crystal system ... monoclinic
# Total magnetic moment ... 0.03 μB per cell
# Uncorrected energy ... -0.683 Ry/atom

***

Record 2
# HfMgAlCu (GGA-PBE, relaxed)
data_HfMgAlCu
_chemical_formula_sum 'Hf4 Mg4 Al4 Cu4'
_symmetry_space_group_name_H-M 'F -4 3 m'
_symmetry_Int_Tables_number 216
_symmetry_space_group_name_Hall 'F -4 2 3'
_cell_length_a 6.461
_cell_length_b 6.461
_cell_length_c 6.461
_cell_angle_alpha 90.00
_cell_angle_beta 90.00
_cell_angle_gamma 90.00
loop_
_atom_site_label
_atom_site_type_symbol
_atom_site_fract_x
_atom_site_fract_y
_atom_site_fract_z
Hf1 Hf 0.000 0.000 0.000
Mg1 Mg 0.250 0.250 0.250
Al1 Al 0.000 0.000 0.500
Cu1 Cu 0.250 0.250 0.750
# Crystal system ... cubic
# Energy above the lowest structure with this stoichiometry ... 0 meV per atom
# Total magnetic moment ... 0.01 μB per cell

***

Record 3
# NdNbSi (GGA-PBE, relaxed)
data_NdNbSi
_chemical_formula_sum 'Nd4 Nb4 Si4'
_symmetry_space_group_name_H-M 'F -4 3 m'
_symmetry_Int_Tables_number 216
_symmetry_space_group_name_Hall 'F -4 2 3'
_cell_length_a 6.579
_cell_length_b 6.579
_cell_length_c 6.579
_cell_angle_alpha 90.00
_cell_angle_beta 90.00
_cell_angle_gamma 90.00
loop_
_atom_site_label
_atom_site_type_symbol
_atom_site_fract_x
_atom_site_fract_y
_atom_site_fract_z
Nd1 Nd 0.000 0.000 0.000
Nb1 Nb 0.000 0.000 0.500
Si1 Si 0.250 0.250 0.750
# Crystal system ... cubic
# Total magnetic moment ... 4.32 μB per cell
# Uncorrected energy ... -0.494 Ry/atom

***

Record 4
# LaPrHg6 (GGA-PBE, relaxed)
data_LaPrHg6
_chemical_formula_sum 'La1 Pr1 Hg6'
_symmetry_space_group_name_H-M 'P -6 m 2'
_symmetry_Int_Tables_number 187
_symmetry_space_group_name_Hall 'P -6 2'
_cell_length_a 6.7837
_cell_length_b 6.7837
_cell_length_c 5.1128
_cell_angle_alpha 90.00
_cell_angle_beta 90.00
_cell_angle_gamma 120.00
loop_
_atom_site_label
_atom_site_type_symbol
_atom_site_fract_x
_atom_site_fract_y
_atom_site_fract_z
La1 La 0.0000 0.0000 0.0000
Pr1 Pr 0.3333 0.6667 0.5000
Hg1 Hg 0.3416 0.1708 0.5000
Hg2 Hg 0.5032 0.0064 0.0000
# Crystal system ... hexagonal
# Total magnetic moment ... 0.01 μB per cell
# E_form ... -0.42 eV per atom